a:
# TePbSCl2 | Alexandria via LeMat-Bulk | meta-GGA SCAN | single point on PBEsol structure
data_TePbSCl2
_cell_length_a 5.208
_cell_length_b 5.208
_cell_length_c 5.260
_cell_angle_alpha 90.00
_cell_angle_beta 90.00
_cell_angle_gamma 90.00
_space_group_name_H-M_alt 'P 4/m m m'
_space_group_IT_number 123
_space_group_name_Hall '-P 4 2'
loop_
_atom_site_label
_atom_site_fract_x
_atom_site_fract_y
_atom_site_fract_z
Te1 0.000 0.000 0.000
Pb1 0.500 0.500 0.500
S1 0.000 0.000 0.500
Cl1 0.000 0.500 0.000
# **Fermi-level density of states**: 2.90 states/eV/f.u.
# **Mass density**: 5.09 g/cm3



b:
# TePbSCl2 | Alexandria via LeMat-Bulk | meta-GGA SCAN | single point on PBEsol structure
data_TePbSCl2
_cell_length_a 5.297
_cell_length_b 5.297
_cell_length_c 5.302
_cell_angle_alpha 90.00
_cell_angle_beta 90.00
_cell_angle_gamma 90.00
_space_group_name_H-M_alt 'P 4/m m m'
_space_group_IT_number 123
_space_group_name_Hall '-P 4 2'
loop_
_atom_site_label
_atom_site_fract_x
_atom_site_fract_y
_atom_site_fract_z
Te1 0.000 0.000 0.000
Pb1 0.500 0.500 0.500
S1 0.500 0.500 0.000
Cl1 0.000 0.500 0.500
# **Fermi-level density of states**: 2.82 states/eV/f.u.
# **Mass density**: 4.89 g/cm3



Stability, descending: a, b



a:
# PbSeCl2 | Alexandria via LeMat-Bulk | meta-GGA SCAN | single point on PBEsol structure
data_PbSeCl2
_cell_length_a 8.125
_cell_length_b 8.125
_cell_length_c 6.482
_cell_angle_alpha 90.00
_cell_angle_beta 90.00
_cell_angle_gamma 90.00
_space_group_name_H-M_alt 'I -4 2 d'
_space_group_IT_number 122
_space_group_name_Hall 'I -4 2bw'
loop_
_atom_site_label
_atom_site_fract_x
_atom_site_fract_y
_atom_site_fract_z
Pb1 0.000 0.000 0.000
Se1 0.000 0.000 0.500
Cl1 0.223 0.750 0.125
# **Fermi-level density of states**: 0.65 states/eV/f.u.
# **Mass density**: 5.54 g/cm3



b:
# PbSeCl2 | Alexandria via LeMat-Bulk | meta-GGA SCAN | single point on PBEsol structure
data_PbSeCl2
_cell_length_a 3.362
_cell_length_b 3.362
_cell_length_c 9.858
_cell_angle_alpha 90.00
_cell_angle_beta 90.00
_cell_angle_gamma 90.00
_space_group_name_H-M_alt 'P 4/m m m'
_space_group_IT_number 123
_space_group_name_Hall '-P 4 2'
loop_
_atom_site_label
_atom_site_fract_x
_atom_site_fract_y
_atom_site_fract_z
Pb1 0.000 0.000 0.000
Se1 0.000 0.000 0.500
Cl1 0.500 0.500 0.175
# **Fermi-level density of states**: 1.69 states/eV/f.u.
# **Mass density**: 5.32 g/cm3



c:
# PbSeCl2 | Alexandria via LeMat-Bulk | meta-GGA SCAN | single point on PBEsol structure
data_PbSeCl2
_cell_length_a 4.088
_cell_length_b 4.088
_cell_length_c 10.934
_cell_angle_alpha 90.00
_cell_angle_beta 90.00
_cell_angle_gamma 90.00
_space_group_name_H-M_alt 'I -4 m 2'
_space_group_IT_number 119
_space_group_name_Hall 'I -4 -2'
loop_
_atom_site_label
_atom_site_fract_x
_atom_site_fract_y
_atom_site_fract_z
Pb1 0.000 0.000 0.000
Se1 0.000 0.500 0.250
Cl1 0.000 0.000 0.500
Cl2 0.000 0.500 0.750
# **Fermi-level density of states**: 1.20 states/eV/f.u.
# **Mass density**: 6.49 g/cm3



Stability, descending: a, c, b



a:
# Si2PbCl | Alexandria via LeMat-Bulk | meta-GGA SCAN | single point on PBEsol structure
data_Si2PbCl
_cell_length_a 3.940
_cell_length_b 3.940
_cell_length_c 23.866
_cell_angle_alpha 90.00
_cell_angle_beta 90.00
_cell_angle_gamma 90.00
_space_group_name_H-M_alt 'I -4 2 d'
_space_group_IT_number 122
_space_group_name_Hall 'I -4 2bw'
loop_
_atom_site_label
_atom_site_fract_x
_atom_site_fract_y
_atom_site_fract_z
Si1 0.184 0.250 0.125
Pb1 0.000 0.000 0.000
Cl1 0.000 0.000 0.500
# **Fermi-level density of states**: 1.24 states/eV/f.u.
# **Mass density**: 5.36 g/cm3



b:
# Si2PbCl | Alexandria via LeMat-Bulk | meta-GGA SCAN | single point on PBEsol structure
data_Si2PbCl
_cell_length_a 3.869
_cell_length_b 3.869
_cell_length_c 11.922
_cell_angle_alpha 90.00
_cell_angle_beta 90.00
_cell_angle_gamma 90.00
_space_group_name_H-M_alt 'I 4/m m m'
_space_group_IT_number 139
_space_group_name_Hall '-I 4 2'
loop_
_atom_site_label
_atom_site_fract_x
_atom_site_fract_y
_atom_site_fract_z
Si1 0.000 0.500 0.250
Pb1 0.000 0.000 0.000
Cl1 0.000 0.000 0.500
# **Fermi-level density of states**: 1.23 states/eV/f.u.
# **Mass density**: 5.56 g/cm3



c:
# Si2PbCl | Alexandria via LeMat-Bulk | meta-GGA SCAN | single point on PBEsol structure
data_Si2PbCl
_cell_length_a 4.527
_cell_length_b 3.816
_cell_length_c 5.870
_cell_angle_alpha 90.00
_cell_angle_beta 112.66
_cell_angle_gamma 90.00
_space_group_name_H-M_alt 'P 1 m 1'
_space_group_IT_number 6
_space_group_name_Hall 'P -2y'
loop_
_atom_site_label
_atom_site_fract_x
_atom_site_fract_y
_atom_site_fract_z
Si1 0.000 0.000 0.000
Si2 0.305 0.500 0.016
Pb1 0.557 0.500 0.645
Cl1 0.924 0.000 0.343
# **Fermi-level density of states**: 0.74 states/eV/f.u.
# **Mass density**: 5.30 g/cm3



d:
# Si2PbCl | Alexandria via LeMat-Bulk | meta-GGA SCAN | single point on PBEsol structure
data_Si2PbCl
_cell_length_a 5.304
_cell_length_b 10.916
_cell_length_c 3.032
_cell_angle_alpha 90.00
_cell_angle_beta 90.00
_cell_angle_gamma 90.00
_space_group_name_H-M_alt 'C m m m'
_space_group_IT_number 65
_space_group_name_Hall '-C 2 2'
loop_
_atom_site_label
_atom_site_fract_x
_atom_site_fract_y
_atom_site_fract_z
Si1 0.250 0.250 0.000
Pb1 0.000 0.000 0.500
Cl1 0.000 0.500 0.500
# **Fermi-level density of states**: 1.74 states/eV/f.u.
# **Mass density**: 5.65 g/cm3



Stability, descending: c, a, b, d



a:
# Sr2PbCl | Alexandria via LeMat-Bulk | meta-GGA SCAN | single point on PBEsol structure
data_Sr2PbCl
_cell_length_a 4.514
_cell_length_b 4.514
_cell_length_c 13.234
_cell_angle_alpha 90.00
_cell_angle_beta 90.00
_cell_angle_gamma 90.00
_space_group_name_H-M_alt 'I -4 m 2'
_space_group_IT_number 119
_space_group_name_Hall 'I -4 -2'
loop_
_atom_site_label
_atom_site_fract_x
_atom_site_fract_y
_atom_site_fract_z
Sr1 0.000 0.000 0.000
Sr2 0.000 0.500 0.250
Pb1 0.000 0.500 0.750
Cl1 0.000 0.000 0.500
# **Fermi-level density of states**: 3.23 states/eV/f.u.
# **Mass density**: 5.15 g/cm3



b:
# Sr2PbCl | Alexandria via LeMat-Bulk | meta-GGA SCAN | single point on PBEsol structure
data_Sr2PbCl
_cell_length_a 5.830
_cell_length_b 5.830
_cell_length_c 3.884
_cell_angle_alpha 90.00
_cell_angle_beta 90.00
_cell_angle_gamma 90.00
_space_group_name_H-M_alt 'P 4 m m'
_space_group_IT_number 99
_space_group_name_Hall 'P 4 -2'
loop_
_atom_site_label
_atom_site_fract_x
_atom_site_fract_y
_atom_site_fract_z
Sr1 0.000 0.500 0.000
Pb1 0.000 0.000 0.501
Cl1 0.500 0.500 0.003
# **Fermi-level density of states**: 1.71 states/eV/f.u.
# **Mass density**: 5.26 g/cm3



Stability, descending: b, a



a:
# SrPb2Cl | Alexandria via LeMat-Bulk | meta-GGA SCAN | single point on PBEsol structure
data_SrPb2Cl
_cell_length_a 5.850
_cell_length_b 11.985
_cell_length_c 3.635
_cell_angle_alpha 90.00
_cell_angle_beta 90.00
_cell_angle_gamma 90.00
_space_group_name_H-M_alt 'C m m m'
_space_group_IT_number 65
_space_group_name_Hall '-C 2 2'
loop_
_atom_site_label
_atom_site_fract_x
_atom_site_fract_y
_atom_site_fract_z
Sr1 0.000 0.000 0.000
Pb1 0.250 0.250 0.500
Cl1 0.000 0.500 0.000
# **Fermi-level density of states**: 2.49 states/eV/f.u.
# **Mass density**: 7.00 g/cm3



b:
# SrPb2Cl | Alexandria via LeMat-Bulk | meta-GGA SCAN | single point on PBEsol structure
data_SrPb2Cl
_cell_length_a 3.778
_cell_length_b 5.763
_cell_length_c 5.872
_cell_angle_alpha 90.00
_cell_angle_beta 90.00
_cell_angle_gamma 90.00
_space_group_name_H-M_alt 'P m m m'
_space_group_IT_number 47
_space_group_name_Hall '-P 2 2'
loop_
_atom_site_label
_atom_site_fract_x
_atom_site_fract_y
_atom_site_fract_z
Sr1 0.000 0.000 0.000
Pb1 0.500 0.500 0.244
Cl1 0.000 0.000 0.500
# **Fermi-level density of states**: 1.33 states/eV/f.u.
# **Mass density**: 6.98 g/cm3



Stability, descending: b, a



a:
# TcPb2Cl | Alexandria via LeMat-Bulk | meta-GGA SCAN | single point on PBEsol structure
data_TcPb2Cl
_cell_length_a 3.163
_cell_length_b 5.722
_cell_length_c 10.025
_cell_angle_alpha 90.00
_cell_angle_beta 90.00
_cell_angle_gamma 90.00
_space_group_name_H-M_alt 'C m m 2'
_space_group_IT_number 35
_space_group_name_Hall 'C 2 -2'
loop_
_atom_site_label
_atom_site_fract_x
_atom_site_fract_y
_atom_site_fract_z
Tc1 0.000 0.000 0.000
Pb1 0.000 0.000 0.532
Pb2 0.000 0.500 0.235
Cl1 0.000 0.500 0.829
# **Fermi-level density of states**: 2.59 states/eV/f.u.
# **Mass density**: 10.03 g/cm3



b:
# TcPb2Cl | Alexandria via LeMat-Bulk | meta-GGA SCAN | single point on PBEsol structure
data_TcPb2Cl
_cell_length_a 4.626
_cell_length_b 4.626
_cell_length_c 8.386
_cell_angle_alpha 90.00
_cell_angle_beta 90.00
_cell_angle_gamma 90.00
_space_group_name_H-M_alt 'I 4/m m m'
_space_group_IT_number 139
_space_group_name_Hall '-I 4 2'
loop_
_atom_site_label
_atom_site_fract_x
_atom_site_fract_y
_atom_site_fract_z
Tc1 0.000 0.000 0.000
Pb1 0.000 0.500 0.250
Cl1 0.000 0.000 0.500
# **Fermi-level density of states**: 1.91 states/eV/f.u.
# **Mass density**: 10.14 g/cm3



Stability, descending: a, b